# 1
The following is a PBE-GGA calculation of a relaxed YMn2AlPb crystal, from Alexandria.

Lattice parameters (Å, degrees): 4.729 4.729 5.362 90.00 90.00 90.00
Element x y z (fractional)
1 Y 0.000 0.000 0.000
2 Mn 0.000 0.500 0.500
3 Mn 0.500 0.000 0.500
4 Al 0.500 0.500 0.500
5 Pb 0.500 0.500 0.000

Summary:
VASP energy in eV per atom: -5.91

---

# 2
The following is a PBE-GGA calculation of a relaxed Mn2AlPd crystal, from Alexandria.

Lattice parameters (Å, degrees): 5.609 5.609 5.609 102.12 102.12 125.47
Element x y z (fractional)
1 Mn 0.120 0.125 0.495
2 Mn 0.375 0.880 0.005
3 Mn 0.630 0.625 0.505
4 Mn 0.875 0.370 0.995
5 Al 0.250 0.750 0.500
6 Al 0.500 0.500 0.000
7 Pd 0.000 0.000 0.000
8 Pd 0.750 0.250 0.500

Summary:
VASP energy in eV per atom: -6.58

---

# 3
The following is a PBE-GGA calculation of a relaxed MnAl4Pd7 crystal, from Alexandria.

Lattice parameters (Å, degrees): 6.274 6.274 9.018 123.51 123.51 43.04
Element x y z (fractional)
1 Mn 0.000 0.000 0.000
2 Al 0.289 0.289 0.661
3 Al 0.422 0.422 0.214
4 Al 0.578 0.578 0.786
5 Al 0.711 0.711 0.339
6 Pd 0.073 0.073 0.336
7 Pd 0.216 0.216 0.870
8 Pd 0.351 0.351 0.423
9 Pd 0.500 0.500 0.000
10 Pd 0.649 0.649 0.577
11 Pd 0.784 0.784 0.130
12 Pd 0.927 0.927 0.664

Summary:
VASP energy in eV per atom: -5.53

---

# 4
The following is a PBE-GGA calculation of a relaxed MnAlPd3 crystal, from Alexandria.

Lattice parameters (Å, degrees): 6.770 6.770 7.605 97.70 97.70 114.46
Element x y z (fractional)
1 Mn 0.088 0.728 0.558
2 Mn 0.272 0.912 0.942
3 Mn 0.728 0.088 0.058
4 Mn 0.912 0.272 0.442
5 Al 0.052 0.948 0.250
6 Al 0.411 0.589 0.750
7 Al 0.589 0.411 0.250
8 Al 0.948 0.052 0.750
9 Pd 0.023 0.456 0.817
10 Pd 0.163 0.235 0.074
11 Pd 0.235 0.163 0.574
12 Pd 0.328 0.548 0.412
13 Pd 0.452 0.672 0.088
14 Pd 0.456 0.023 0.317
15 Pd 0.544 0.977 0.683
16 Pd 0.548 0.328 0.912
17 Pd 0.672 0.452 0.588
18 Pd 0.765 0.837 0.426
19 Pd 0.837 0.765 0.926
20 Pd 0.977 0.544 0.183

Summary:
Energy relative to the lowest polymorph listed for this composition in eV/atom: 0.112
VASP energy in eV per atom: -6.13

---

# 5
The following is a PBE-GGA calculation of a relaxed Mn5Al2Pd12 crystal, from Alexandria.

Lattice parameters (Å, degrees): 7.395 7.395 5.879 91.94 91.94 66.81
Element x y z (fractional)
1 Mn 0.000 0.000 0.000
2 Mn 0.243 0.243 0.040
3 Mn 0.329 0.329 0.580
4 Mn 0.671 0.671 0.420
5 Mn 0.757 0.757 0.960
6 Al 0.248 0.752 0.500
7 Al 0.752 0.248 0.500
8 Pd 0.045 0.573 0.301
9 Pd 0.115 0.115 0.400
10 Pd 0.171 0.625 0.888
11 Pd 0.375 0.829 0.112
12 Pd 0.427 0.955 0.699
13 Pd 0.454 0.454 0.239
14 Pd 0.546 0.546 0.761
15 Pd 0.573 0.045 0.301
16 Pd 0.625 0.171 0.888
17 Pd 0.829 0.375 0.112
18 Pd 0.885 0.885 0.600
19 Pd 0.955 0.427 0.699

Summary:
VASP energy in eV per atom: -6.40

---

# 6
The following is a PBE-GGA calculation of a relaxed MnAlPd2 crystal, from Alexandria.

Lattice parameters (Å, degrees): 4.063 4.063 3.571 90.00 90.00 90.00
Element x y z (fractional)
1 Mn 0.000 0.000 0.000
2 Al 0.500 0.500 0.000
3 Pd 0.000 0.500 0.500
4 Pd 0.500 0.000 0.500

Summary:
VASP energy in eV per atom: -6.37

---

# 7
The following is a PBE-GGA calculation of a relaxed Mn3Al4Pd crystal, from Alexandria.

Lattice parameters (Å, degrees): 3.427 3.944 7.977 90.00 90.00 90.00
Element x y z (fractional)
1 Mn 0.000 0.000 0.000
2 Mn 0.000 0.500 0.242
3 Mn 0.000 0.500 0.758
4 Al 0.500 0.000 0.243
5 Al 0.500 0.000 0.757
6 Al 0.500 0.500 0.000
7 Al 0.500 0.500 0.500
8 Pd 0.000 0.000 0.500

Summary:
VASP energy in eV per atom: -6.35

---

# 8
The following is a PBE-GGA calculation of a relaxed MnAlPd2 crystal, from Alexandria.

Lattice parameters (Å, degrees): 2.979 2.979 6.693 90.00 90.00 90.00
Element x y z (fractional)
1 Mn 0.000 0.000 0.000
2 Al 0.000 0.000 0.500
3 Pd 0.500 0.500 0.266
4 Pd 0.500 0.500 0.734

Summary:
VASP energy in eV per atom: -6.38